No. 1
Here is a relaxed AlNiPdPt crystal from Alexandria. Energies are from GGA-PBE.

## Properties
Its spin magnetization is 0.55 Bohr magnetons per cell. Its electronic total energy is -5.80 eV per atom. For the density of states at the Fermi level, the calculation gives 3.5 states/eV/cell. Its energy above the most stable polymorph in this dataset is 0 meV per atom.

Lattice parameters (Å, degrees): 3.591 3.931 3.919 90.00 90.00 90.00
Element x y z (fractional)
Pt (0.000, 0.500, 0.500)
Al (0.500, 0.500, 0.000)
Pd (0.000, 0.000, 0.000)
Ni (0.500, 0.000, 0.500)


No. 2
Here is a relaxed Al4NiPdRh2 crystal from Alexandria. Energies are from GGA-PBE.

## Properties
Its spin magnetization is 0.00 Bohr magnetons per cell. Its electronic total energy is -5.97 eV per atom. For the density of states at the Fermi level, the calculation gives 3.5 states/eV/cell.

Lattice parameters (Å, degrees): 4.249 4.249 7.356 73.21 73.21 60.00
Element x y z (fractional)
Ni (0.500, 0.500, 0.500)
Pd (0.000, 0.000, 0.000)
Rh (0.750, 0.750, 0.750)
Rh (0.250, 0.250, 0.250)
Al (0.379, 0.379, 0.864)
Al (0.128, 0.128, 0.617)
Al (0.621, 0.621, 0.136)
Al (0.872, 0.872, 0.383)


No. 3
Here is a relaxed AlNiPdRu crystal from Alexandria. Energies are from GGA-PBE.

## Properties
Its spin magnetization is 1.97 Bohr magnetons per cell. Its electronic total energy is -6.33 eV per atom. For the density of states at the Fermi level, the calculation gives 3.4 states/eV/cell.

Lattice parameters (Å, degrees): 4.245 4.245 4.245 60.00 60.00 60.00
Element x y z (fractional)
Ru (0.750, 0.750, 0.750)
Pd (0.250, 0.250, 0.250)
Ni (0.000, 0.000, 0.000)
Al (0.500, 0.500, 0.500)


No. 4
Here is a relaxed Al4Ni2PdRu crystal from Alexandria. Energies are from GGA-PBE.

## Properties
Its spin magnetization is 0.00 Bohr magnetons per cell. Its electronic total energy is -5.83 eV per atom. For the density of states at the Fermi level, the calculation gives 4.5 states/eV/cell.

Lattice parameters (Å, degrees): 4.199 4.199 7.312 73.31 73.31 60.00
Element x y z (fractional)
Pd (0.000, 0.000, 0.000)
Al (0.873, 0.873, 0.380)
Ru (0.500, 0.500, 0.500)
Ni (0.248, 0.248, 0.255)
Al (0.127, 0.127, 0.620)
Ni (0.752, 0.752, 0.745)
Al (0.623, 0.623, 0.131)
Al (0.377, 0.377, 0.869)